1 | SrAs2PdSe PBE relaxed; space-group type = P4/mmm (123)
1.0
-0.5526 4.5472 -1.6280
-4.6446 -0.9497 -1.0761
-1.4698 1.5903 4.9407
Sr As Pd Se
1 2 1 1
direct
0.5000 0.5000 0.5000
0.5000 0.0000 0.0000
0.0000 0.5000 0.0000
0.0000 0.0000 0.0000
0.0000 0.0000 0.5000

---

2 | SrAs2PdSe PBE relaxed; space-group type = P4/mmm (123)
1.0
5.6442 0.0000 0.0000
0.0000 5.6442 0.0000
0.0000 0.0000 5.5786
As Pd Sr Se
2 1 1 1
direct
0.5000 0.0000 0.0000
0.0000 0.5000 0.0000
0.5000 0.5000 0.5000
0.0000 0.0000 0.0000
0.0000 0.0000 0.5000

---

Verdict on stability: 1 comes out on top.

---

1 | TaAs2PdSe PBE relaxed; space-group type = P4/mmm (123)
1.0
4.7549 0.0000 0.0000
0.0000 4.7549 0.0000
0.0000 0.0000 4.8398
Ta Se As Pd
1 1 2 1
direct
0.5000 0.5000 0.5000
0.0000 0.0000 0.5000
0.5000 0.0000 0.0000
0.0000 0.5000 0.0000
0.0000 0.0000 0.0000

---

2 | TaAs2PdSe PBE relaxed; space-group type = P4/mmm (123)
1.0
4.9915 0.0000 0.0000
0.0000 4.9915 0.0000
0.0000 0.0000 4.9287
As Ta Se Pd
2 1 1 1
direct
0.5000 0.0000 0.0000
0.0000 0.5000 0.0000
0.0000 0.0000 0.0000
0.0000 0.0000 0.5000
0.5000 0.5000 0.5000

---

Verdict on stability: 2 comes out on top.

---

1 | TiAsPdSe2 PBE relaxed; space-group type = P4/mmm (123)
1.0
4.9281 0.0000 0.0000
0.0000 4.9281 0.0000
0.0000 0.0000 4.7451
Se As Ti Pd
2 1 1 1
direct
0.0000 0.5000 0.0000
0.5000 0.0000 0.0000
0.0000 0.0000 0.5000
0.5000 0.5000 0.5000
0.0000 0.0000 0.0000

---

2 | TiAsPdSe2 PBE relaxed; space-group type = P4/mmm (123)
1.0
-0.0682 0.5822 4.8243
3.9848 -2.7547 0.3887
2.8040 3.9937 -0.4423
Se As Pd Ti
2 1 1 1
direct
0.0000 0.5000 0.0000
0.5000 0.0000 0.0000
0.0000 0.0000 0.5000
0.5000 0.5000 0.5000
0.0000 0.0000 0.0000

---

Verdict on stability: 2 comes out on top.

---

1 | TlAsPdSe2 PBE relaxed; space-group type = P4/mmm (123)
1.0
-3.3726 -3.5230 -2.0675
3.0188 -3.9558 1.8163
-2.4298 -0.0193 3.9964
As Se Tl Pd
1 2 1 1
direct
0.0000 0.0000 0.5000
0.5000 0.0000 0.0000
0.0000 0.5000 0.0000
0.5000 0.5000 0.5000
0.0000 0.0000 0.0000

---

2 | TlAsPdSe2 PBE relaxed; space-group type = P4/mmm (123)
1.0
5.3464 0.0000 0.0000
0.0000 5.3464 0.0000
0.0000 0.0000 5.3203
Tl As Pd Se
1 1 1 2
direct
0.0000 0.0000 0.0000
0.0000 0.0000 0.5000
0.5000 0.5000 0.5000
0.5000 0.0000 0.0000
0.0000 0.5000 0.0000

---

Verdict on stability: 1 comes out on top.

---

1 | YAsPdSe2 PBE relaxed; space-group type = P4/mmm (123)
1.0
5.3694 0.0000 0.0000
0.0000 5.3694 0.0000
0.0000 0.0000 5.4918
Y As Se Pd
1 1 2 1
direct
0.0000 0.0000 0.0000
0.0000 0.0000 0.5000
0.5000 0.0000 0.0000
0.0000 0.5000 0.0000
0.5000 0.5000 0.5000

---

2 | YAsPdSe2 PBE relaxed; space-group type = P4/mmm (123)
1.0
5.0107 0.0000 0.0000
0.0000 5.0107 0.0000
0.0000 0.0000 4.7615
Pd Y As Se
1 1 1 2
direct
0.0000 0.0000 0.0000
0.5000 0.5000 0.5000
0.0000 0.0000 0.5000
0.5000 0.0000 0.0000
0.0000 0.5000 0.0000

---

Verdict on stability: 2 comes out on top.

---

1 | ZnAs2PdSe PBE relaxed; space-group type = P4/mmm (123)
1.0
-0.8165 -3.6602 -2.9227
4.1193 -1.9732 1.3204
-2.3010 -2.3794 3.6227
Se As Zn Pd
1 2 1 1
direct
0.0000 0.0000 0.5000
0.0000 0.5000 0.0000
0.5000 0.0000 0.0000
0.0000 0.0000 0.0000
0.5000 0.5000 0.5000

---

2 | ZnAs2PdSe PBE relaxed; space-group type = P4/mmm (123)
1.0
4.8231 0.0000 0.0000
0.0000 4.8231 0.0000
0.0000 0.0000 5.1818
As Zn Pd Se
2 1 1 1
direct
0.5000 0.0000 0.0000
0.0000 0.5000 0.0000
0.5000 0.5000 0.5000
0.0000 0.0000 0.0000
0.0000 0.0000 0.5000

---

Verdict on stability: 2 comes out on top.

---

1 | ZnAsPdSe2 PBE relaxed; space-group type = P4/mmm (123)
1.0
-2.2617 3.6516 -2.8067
-4.5806 -1.4582 1.7940
0.4347 2.9910 3.5411
Se Zn As Pd
2 1 1 1
direct
0.0000 0.5000 0.0000
0.5000 0.0000 0.0000
0.5000 0.5000 0.5000
0.0000 0.0000 0.5000
0.0000 0.0000 0.0000

---

2 | ZnAsPdSe2 PBE relaxed; space-group type = P4/mmm (123)
1.0
-1.5478 4.6016 0.6600
-3.7811 -1.6508 2.6427
2.6122 0.3144 3.9339
Se Zn Pd As
2 1 1 1
direct
0.5000 0.0000 0.0000
0.0000 0.5000 0.0000
0.0000 0.0000 0.0000
0.5000 0.5000 0.5000
0.0000 0.0000 0.5000

---

Verdict on stability: 1 comes out on top.